1.
The following is a GGA-PBE calculation of a geometry-optimized Ba3NaHo2Te6 structure, from Alexandria via LeMat-Bulk.

It has space group C2/m (No. 12), with a = 8.093 Å, b = 14.016 Å, c = 8.197 Å, α = 90.00°, β = 109.13° and γ = 90.00°. The inequivalent atoms are Ba at (0.000, 0.000, 0.000), Ba at (0.000, 0.338, 0.000), Na at (0.000, 0.500, 0.500), Ho at (0.000, 0.168, 0.500), Te at (0.226, 0.000, 0.712) and Te at (0.246, 0.327, 0.718).

As for the volume: 878.48 Å³ per cell. The value obtained for the theoretical density is 5.79 Mg/m³. The calculation puts the formation energy from raw total energies at -1505 meV/atom.

2.
The following is a GGA-PBE calculation of a geometry-optimized La2Zn7In structure, from Alexandria via LeMat-Bulk.

It has space group P-4m2 (No. 115), with a = 4.413 Å, b = 4.413 Å, c = 10.622 Å, α = 90.00°, β = 90.00° and γ = 90.00°. The inequivalent atoms are La at (0.000, 0.500, 0.237), Zn at (0.000, 0.000, 0.000), Zn at (0.000, 0.500, 0.646), Zn at (0.000, 0.500, 0.878), Zn at (0.500, 0.500, 0.000), Zn at (0.500, 0.500, 0.500) and In at (0.000, 0.000, 0.500).

As for the volume: 206.91 Å³ per cell. The value obtained for the theoretical density is 6.83 Mg/m³. The value obtained for the formation energy is -0.339 eV per atom.